Below is crystalline CsPm2B2S6 at its relaxed geometry, with properties calculated at the PBE level.

* symmetry: C2/m, No. 12

Unit cell a=7.442 b=7.442 c=7.505 alpha=115.00 beta=115.00 gamma=58.33
Positions (direct):
Cs 0.000 0.000 0.000
Pm 0.328 0.328 0.671
Pm 0.672 0.672 0.329
B 0.350 0.350 0.259
B 0.650 0.650 0.741
S 0.107 0.537 0.353
S 0.427 0.427 0.108
S 0.463 0.893 0.647
S 0.537 0.107 0.353
S 0.573 0.573 0.892
S 0.893 0.463 0.647

---

Below is crystalline Tb12Er6Mg at its relaxed geometry, with properties calculated at the PBE level.

* symmetry: R-3, No. 148

Unit cell a=8.460 b=8.460 c=8.460 alpha=88.73 beta=88.73 gamma=88.73
Positions (direct):
Tb 0.039 0.281 0.933
Tb 0.067 0.961 0.719
Tb 0.136 0.316 0.486
Tb 0.281 0.933 0.039
Tb 0.316 0.486 0.136
Tb 0.486 0.136 0.316
Tb 0.514 0.864 0.684
Tb 0.684 0.514 0.864
Tb 0.719 0.067 0.961
Tb 0.864 0.684 0.514
Tb 0.933 0.039 0.281
Tb 0.961 0.719 0.067
Er 0.208 0.598 0.761
Er 0.239 0.792 0.402
Er 0.402 0.239 0.792
Er 0.598 0.761 0.208
Er 0.761 0.208 0.598
Er 0.792 0.402 0.239
Mg 0.500 0.500 0.500

---

no.,calculated total energy (eV per atom)
1,-5.51
2,-4.31